1.
DFT (PBE) results for an optimized crystal structure of CrHgP2Ru.

```
5
Lattice="-0.2940 -2.8786 3.2383 -3.5292 -2.2146 -2.2891 2.8947 -2.5456 -2.0001" Properties=species:S:1:pos:R:3 pbc="T T T"
Ru -1.7646 -1.1073 -1.1445
Hg -0.4642 -3.8194 -0.5254
P 1.4473 -1.2728 -1.0000
P -0.1470 -1.4393 1.6191
Cr 0.0000 0.0000 0.0000
```

Results
- E_form: 3.53 eV per formula unit
- Total moment: 0.00 Bohr magnetons per cell
- Space group: P4/mmm, No. 123
- Density of states at the Fermi level: 1.0689 states/eV/atom

2.
DFT (PBE) results for an optimized crystal structure of Dy3ErTl3.

```
28
Lattice="-2.3871 -7.3873 -5.1484 8.7741 -0.7116 -3.0470 2.0231 -5.6301 7.1404" Properties=species:S:1:pos:R:3 pbc="T T T"
Dy 1.2319 -7.3085 -3.9726
Dy 7.8061 -12.7429 -0.9792
Dy 4.6209 -8.3909 -3.9892
Dy 7.4651 -3.7107 -1.1035
Dy 1.4812 -2.4179 -0.1858
Dy 7.8235 -6.7855 0.6499
Dy 4.7423 -4.0546 2.4086
Dy 2.4379 -7.1577 3.6793
Dy 2.8946 -9.8636 1.4151
Dy 5.6853 -9.2809 -0.7132
Dy 0.1314 -6.6860 -0.1054
Dy 4.1404 -3.9744 -3.4340
Er 6.7332 -6.1686 4.4815
Er -0.3994 -10.1249 -0.8940
Er 3.5824 -5.8480 -0.4494
Er 6.9040 -5.3163 -5.2481
Tl 5.7293 -11.6290 1.3574
Tl -1.5723 -7.8671 -2.6970
Tl 5.4787 -11.4507 -2.9610
Tl 4.5880 -2.6914 -0.4062
Tl 1.5340 -4.7399 1.9073
Tl 7.0590 -2.4830 -3.9549
Tl 3.9752 -5.0959 5.4649
Tl 5.0082 -7.3232 1.8991
Tl 1.2402 -4.5870 -2.4246
Tl 8.7963 -9.5762 -0.9060
Tl 2.4978 -8.6060 -1.4198
Tl 6.1260 -6.3243 -2.1893
```

Results
- E_form: -1.69 eV per formula unit
- Relative energy among the computed polymorphs: 0.00 eV/f.u.
- Total moment: 0.00 Bohr magnetons per cell
- Space group: P2_13, No. 198
- Density of states at the Fermi level: 1.3719 states/eV/atom

3.
DFT (PBE) results for an optimized crystal structure of PmZnCuHg.

```
4
Lattice="-4.4504 0.0424 1.8502 -0.7535 -1.5502 4.5011 -1.1363 3.1431 3.4728" Properties=species:S:1:pos:R:3 pbc="T T T"
Zn -4.7551 1.2264 7.3680
Hg -3.1701 0.8176 4.9120
Cu -1.5850 0.4088 2.4560
Pm 0.0000 0.0000 0.0000
```

Results
- E_form: -1.02 eV per formula unit
- Total moment: 0.00 Bohr magnetons per cell
- Space group: F-43m, No. 216
- Density of states at the Fermi level: 0.4965 states/eV/atom

4.
DFT (PBE) results for an optimized crystal structure of Pr12Cd5In2.

```
19
Lattice="-9.6769 0.4829 -4.8948 5.4051 -6.5396 0.7058 -3.5187 -4.3819 6.5241" Properties=species:S:1:pos:R:3 pbc="T T T"
Pr -4.9285 -5.1773 -2.8041
Pr 0.5358 -7.7959 5.7345
Pr -5.5444 -7.4925 2.6591
Pr 1.2811 -6.8059 2.3455
Pr -3.1806 -6.5833 0.0887
Pr -2.1000 -8.2608 3.3366
Pr -5.6905 -2.1777 -1.0016
Pr -9.0716 -3.6326 -0.0105
Pr -4.6100 -3.8553 2.2463
Pr -8.3263 -2.6426 -3.3995
Pr -2.2461 -2.9460 -0.3240
Pr -2.8620 -5.2612 5.1391
Cd -1.4022 -4.9882 2.2799
Cd -0.0101 -5.2730 -0.5002
Cd -1.7594 -2.1909 3.2620
Cd -7.7804 -5.1655 2.8352
Cd -6.3883 -5.4503 0.0551
In -7.0129 0.3500 -3.5473
In -2.6641 0.1329 -1.3475
```

Results
- E_form: -3.70 eV per formula unit
- Total moment: 0.00 Bohr magnetons per cell
- Space group: C2/m, No. 12
- Density of states at the Fermi level: 1.1664 states/eV/atom

5.
DFT (PBE) results for an optimized crystal structure of TaMnPt2.

```
4
Lattice="-1.2357 4.3804 1.6280 0.0830 -3.1356 3.6778 2.7394 0.6042 0.4534" Properties=species:S:1:pos:R:3 pbc="T T T"
Mn 1.4112 -1.2657 2.0656
Pt 0.0000 0.0000 0.0000
Pt -0.5763 0.6224 2.6529
Ta 0.7519 2.4923 1.0407
```

Results
- E_form: -1.91 eV per formula unit
- Total moment: 3.45 Bohr magnetons per cell
- Space group: Cmmm, No. 65
- Density of states at the Fermi level: 0.6401 states/eV/atom

6.
DFT (PBE) results for an optimized crystal structure of BePt2Se.

```
4
Lattice="-5.1933 -0.9659 -8.2738 -6.8342 -2.4396 -6.6106 -7.1178 0.3045 -6.7529" Properties=species:S:1:pos:R:3 pbc="T T T"
Be -14.3590 -2.3257 -16.2280
Se -4.7863 -0.7752 -5.4093
Pt -0.4488 -0.0727 -0.5072
Pt -9.1239 -1.4778 -10.3115
```

Results
- Relative energy among the computed polymorphs: 0.14 eV/f.u.
- Total moment: 0.00 Bohr magnetons per cell
- Space group: R-3m, No. 166
- Density of states at the Fermi level: 0.6201 states/eV/atom
- Energy relative to the elements, uncorrected: -0.206 eV per atom

7.
DFT (PBE) results for an optimized crystal structure of BeZnCl.

```
3
Lattice="-1.3587 0.1972 4.2788 2.9763 -0.5077 3.3282 1.1326 3.5172 2.5573" Properties=species:S:1:pos:R:3 pbc="T T T"
Be 0.0000 0.0000 0.0000
Zn 2.0627 2.4050 7.6232
Cl 1.3751 1.6033 5.0821
```

Results
- Relative energy among the computed polymorphs: 2.47 eV/f.u.
- Total moment: 0.00 Bohr magnetons per cell
- Space group: F-43m, No. 216
- Density of states at the Fermi level: 1.0180 states/eV/atom
- Energy relative to the elements, uncorrected: 0.728 eV per atom

8.
DFT (PBE) results for an optimized crystal structure of TaTiNbRe.

```
4
Lattice="4.5526 0.0000 0.0000 0.0000 3.1891 0.0000 -2.2763 -1.5945 4.6346" Properties=species:S:1:pos:R:3 pbc="T T T"
Ta 0.0000 1.5945 3.4018
Ti 2.2763 1.5945 1.2248
Nb 0.0000 0.0000 1.0067
Re 2.2763 0.0000 3.4424
```

Results
- E_form: -0.97 eV per formula unit
- Relative energy among the computed polymorphs: 0.00 eV/f.u.
- Total moment: 0.00 Bohr magnetons per cell
- Space group: Imm2, No. 44
- Density of states at the Fermi level: 0.9445 states/eV/atom

9.
DFT (PBE) results for an optimized crystal structure of CsZnS2Cl.

```
5
Lattice="4.7308 0.0000 0.0000 0.0000 4.7308 0.0000 0.0000 0.0000 5.9648" Properties=species:S:1:pos:R:3 pbc="T T T"
Cs 2.3654 2.3654 2.9824
Zn 0.0000 0.0000 0.0000
S 0.0000 2.3654 0.0000
S 2.3654 0.0000 0.0000
Cl 0.0000 0.0000 2.9824
```

Results
- Relative energy among the computed polymorphs: 0.00 eV/f.u.
- Total moment: 0.63 Bohr magnetons per cell
- Space group: P4/mmm, No. 123
- Density of states at the Fermi level: 1.2677 states/eV/atom
- Energy relative to the elements, uncorrected: -0.500 eV per atom

10.
DFT (PBE) results for an optimized crystal structure of Hg4SbPb5.

```
10
Lattice="4.6553 0.0000 -1.1813 -0.3908 6.7095 -1.5403 -0.1292 -0.0779 9.2546" Properties=species:S:1:pos:R:3 pbc="T T T"
Hg 3.1667 0.7135 2.7160
Hg 0.3103 2.2056 1.2231
Hg 0.9686 5.9182 3.8171
Hg 3.8249 4.4261 5.3100
Sb 2.3277 0.0000 -0.5906
Pb 1.1495 2.5359 4.5301
Pb 0.0998 5.6156 0.3933
Pb 4.0355 1.0161 6.1397
Pb 2.1322 3.3548 -1.3608
Pb 2.9858 4.0958 2.0029
```

Results
- Total moment: 0.00 Bohr magnetons per cell
- Space group: C2/m, No. 12
- Density of states at the Fermi level: 0.4156 states/eV/atom
- Energy relative to the elements, uncorrected: 0.034 eV per atom

11.
DFT (PBE) results for an optimized crystal structure of KTl16Hg12.

```
29
Lattice="-7.6036 5.8210 -4.0513 6.5199 -2.9647 -7.5374 -4.0480 -8.2301 4.3416" Properties=species:S:1:pos:R:3 pbc="T T T"
K -1.7805 -0.5760 -5.7618
Tl -1.8532 -1.9872 -2.4998
Tl -4.0415 -8.2082 4.3127
Tl -3.6863 -2.4517 -8.7555
Tl -3.2433 -5.0272 -0.4699
Tl -6.7631 -5.2849 -1.3717
Tl -5.2573 -2.2024 -1.8158
Tl 2.9527 -5.2137 -3.5543
Tl 4.1987 -1.9199 -4.8842
Tl -4.8339 0.6150 -4.0501
Tl 0.8058 -6.3838 -6.0738
Tl -7.8636 -0.9908 -3.9339
Tl 0.9907 -3.0084 -5.4879
Tl -4.9160 3.7501 -2.6344
Tl -6.8178 0.8642 -1.1426
Tl -0.5069 -5.1574 -2.9884
Tl -2.4300 -7.9804 -2.4412
Hg -1.5522 0.9940 -8.7936
Hg -3.9222 -4.9235 -3.4818
Hg -1.6243 1.5411 -2.9882
Hg -4.7025 -2.4060 -5.1497
Hg -2.9093 -1.9133 0.7426
Hg -3.5985 0.6250 -0.8472
Hg 0.7739 -8.1385 -3.2998
Hg -8.4134 -2.4234 -1.0321
Hg 1.6203 -2.6215 -2.1354
Hg -0.2815 -3.5480 0.0939
Hg -2.0301 -4.0684 -5.8093
Hg 0.9248 -0.0446 -3.6174
```

Results
- E_form: -0.66 eV per formula unit
- Total moment: 0.00 Bohr magnetons per cell
- Space group: Cm, No. 8
- Density of states at the Fermi level: 0.3619 states/eV/atom

12.
DFT (PBE) results for an optimized crystal structure of Be2ReIr.

```
4
Lattice="4.1101 0.0000 0.0000 2.0550 3.5594 0.0000 2.0550 1.1865 3.3559" Properties=species:S:1:pos:R:3 pbc="T T T"
Re 6.1651 3.5594 2.5169
Ir 4.1101 2.3729 1.6779
Be 0.0000 0.0000 0.0000
Be 2.0550 1.1865 0.8390
```

Results
- E_form: 0.30 eV per formula unit
- Relative energy among the computed polymorphs: 1.59 eV/f.u.
- Total moment: 0.00 Bohr magnetons per cell
- Space group: F-43m, No. 216
- Density of states at the Fermi level: 1.0263 states/eV/atom